Record 1
VASP calculation (PBE) on TmMgIn after structural relaxation.

Summary:
- raw total energy (eV/atom) = -3.236
- spin magnetization (μB/f.u.) = 0.00
- D(E_F) (states/eV/atom) = 0.8030
- space group = P-6m2, No. 187

Unit cell a=3.503 b=4.947 c=4.947 alpha=120.00 beta=90.00 gamma=90.00
Fractional positions:
Tm: 0.666 0.333 0.667
In: 0.167 0.000 0.000
Mg: 0.167 0.667 0.333

Record 2
VASP calculation (PBE) on Tm2Mg3In4 after structural relaxation.

Summary:
- raw total energy (eV/atom) = -2.950
- spin magnetization (μB/f.u.) = 0.00
- D(E_F) (states/eV/atom) = 0.6975
- space group = Cmce, No. 64

Unit cell a=6.294 b=8.264 c=9.050 alpha=90.00 beta=110.35 gamma=90.00
Fractional positions:
In: 0.188 0.750 0.876
In: 0.688 0.750 0.876
In: 0.669 0.527 0.339
In: 0.812 0.250 0.124
In: 0.831 0.027 0.661
In: 0.331 0.473 0.661
In: 0.312 0.250 0.124
In: 0.169 0.973 0.339
Tm: 0.901 0.397 0.803
Tm: 0.401 0.103 0.803
Tm: 0.599 0.897 0.197
Tm: 0.099 0.603 0.197
Mg: 0.515 0.750 0.529
Mg: 0.500 0.500 0.000
Mg: 0.985 0.250 0.471
Mg: 0.000 0.000 0.000
Mg: 0.015 0.750 0.529
Mg: 0.485 0.250 0.471

Record 3
VASP calculation (PBE) on TmMg4In after structural relaxation.

Summary:
- relative energy among the computed polymorphs (meV per atom) = 73
- spin magnetization (μB/f.u.) = 0.00
- D(E_F) (states/eV/atom) = 0.4328
- space group = F-43m, No. 216

Unit cell a=5.939 b=5.939 c=5.939 alpha=60.00 beta=60.00 gamma=60.00
Fractional positions:
Tm: 0.250 0.250 0.250
Mg: 0.625 0.125 0.625
Mg: 0.625 0.625 0.625
Mg: 0.125 0.625 0.625
Mg: 0.625 0.625 0.125
In: 0.000 0.000 0.000